1.
A plane-wave DFT calculation with PBE was carried out for EuTlPb4 after structural relaxation.

Results
The total magnetization is 1.17 μB per atom. The value obtained for the total DFT energy (no corrections) is -4.723 eV/atom. The space group is F-43m (216). The calculation puts the energy relative to the elements at -144 meV/atom.

a b c (Å): 6.5528 6.5528 6.5528
angles (deg): 60.00 60.00 60.00
Sites, in units of the cell vectors:
Pb: 0.6245 0.6245 0.1266
Pb: 0.6245 0.1266 0.6245
Tl: 0.0000 0.0000 0.0000
Pb: 0.6245 0.6245 0.6245
Pb: 0.1266 0.6245 0.6245
Eu: 0.2500 0.2500 0.2500

2.
A plane-wave DFT calculation with PBE was carried out for EuTlPb after structural relaxation.

Results
The total magnetization is 2.43 μB per atom. The value obtained for the total DFT energy (no corrections) is -5.738 eV/atom. The space group is I4mm (107). The calculation puts the energy relative to the elements at -288 meV/atom.

a b c (Å): 4.0126 4.0126 6.5239
angles (deg): 107.91 107.91 90.00
Sites, in units of the cell vectors:
Eu: 0.2861 0.2861 0.5722
Tl: 0.9609 0.9609 0.9219
Pb: 0.6029 0.6029 0.2059

3.
A plane-wave DFT calculation with PBE was carried out for EuTl2Pb after structural relaxation.

Results
The total magnetization is 1.82 μB per atom. The value obtained for the total DFT energy (no corrections) is -4.898 eV/atom. The space group is P4/mmm (123). The calculation puts the energy relative to the elements at -220 meV/atom.

a b c (Å): 4.0762 4.0762 7.4139
angles (deg): 90.00 90.00 90.00
Sites, in units of the cell vectors:
Eu: 0.5000 0.5000 0.0000
Tl: 0.0000 0.0000 0.2646
Tl: 0.0000 0.0000 0.7354
Pb: 0.5000 0.5000 0.5000

4.
A plane-wave DFT calculation with PBE was carried out for EuTlPb after structural relaxation.

Results
The total magnetization is 2.38 μB per atom. The value obtained for the total DFT energy (no corrections) is -5.676 eV/atom. The space group is F-43m (216). The calculation puts the energy relative to the elements at -227 meV/atom.

a b c (Å): 5.3629 5.3629 5.3629
angles (deg): 60.00 60.00 60.00
Sites, in units of the cell vectors:
Eu: 0.0000 0.0000 0.0000
Tl: 0.5000 0.5000 0.5000
Pb: 0.2500 0.2500 0.2500

5.
A plane-wave DFT calculation with PBE was carried out for EuYTlPb after structural relaxation.

Results
The total magnetization is 1.80 μB per atom. The value obtained for the total DFT energy (no corrections) is -6.129 eV/atom. The space group is F-43m (216). The calculation puts the energy relative to the elements at -425 meV/atom.

a b c (Å): 5.5181 5.5181 5.5181
angles (deg): 60.00 60.00 60.00
Sites, in units of the cell vectors:
Tl: 0.0000 0.0000 0.0000
Y: 0.7500 0.7500 0.7500
Eu: 0.2500 0.2500 0.2500
Pb: 0.5000 0.5000 0.5000

6.
A plane-wave DFT calculation with PBE was carried out for EuTmPb2 after structural relaxation.

Results
The total magnetization is 1.81 μB per atom. The value obtained for the total DFT energy (no corrections) is -5.983 eV/atom. The space group is P4/mmm (123). The calculation puts the energy relative to the elements at -443 meV/atom.

a b c (Å): 4.0348 4.0348 7.3545
angles (deg): 90.00 90.00 90.00
Sites, in units of the cell vectors:
Pb: 0.0000 0.0000 0.7722
Eu: 0.5000 0.5000 0.5000
Tm: 0.5000 0.5000 0.0000
Pb: 0.0000 0.0000 0.2278

7.
A plane-wave DFT calculation with PBE was carried out for EuTm2Pb after structural relaxation.

Results
The total magnetization is 1.87 μB per atom. The value obtained for the total DFT energy (no corrections) is -5.608 eV/atom. The space group is R-3m (166). The calculation puts the energy relative to the elements at 124 meV/atom.

a b c (Å): 3.5466 3.5466 12.3327
angles (deg): 81.73 81.73 60.00
Sites, in units of the cell vectors:
Tm: 0.0856 0.0856 0.7431
Tm: 0.9144 0.9144 0.2569
Pb: 0.0000 0.0000 0.0000
Eu: 0.5000 0.5000 0.5000

8.
A plane-wave DFT calculation with PBE was carried out for EuTmPb2 after structural relaxation.

Results
The total magnetization is 1.81 μB per atom. The value obtained for the total DFT energy (no corrections) is -5.960 eV/atom. The space group is P4/mmm (123). The calculation puts the energy relative to the elements at -419 meV/atom.

a b c (Å): 4.4876 5.1154 5.1154
angles (deg): 90.00 90.00 90.00
Sites, in units of the cell vectors:
Pb: 0.0000 0.0000 0.5000
Pb: 0.0000 0.5000 0.0000
Tm: 0.5000 0.0000 0.0000
Eu: 0.5000 0.5000 0.5000